#one
Material: CuPtRh2
Method: DFT, PBE
State: optimized geometry

## Properties
Its volume is 57 Å³/f.u.

Lattice parameters (Å, degrees): 2.7356 2.7356 26.2716 90.00 90.00 120.00
Space group R3m (No. 160, hexagonal axes)
Asymmetric unit:
1 Cu 0.0000 0.0000 0.0000 [3 per cell]
2 Pt 0.0000 0.0000 0.7489 [3 per cell]
3 Rh 0.0000 0.0000 0.2525 [3 per cell]
4 Rh 0.0000 0.0000 0.5040 [3 per cell]

---

#two
Material: CuPtRh2
Method: DFT, PBE
State: optimized geometry

## Properties
Its volume is 58 Å³/f.u.

Lattice parameters (Å, degrees): 5.293 9.255 2.696 90.00 118.94 90.00
Space group C2/m (No. 12)
Asymmetric unit:
1 Cu 0.000 0.000 0.000 [2 per cell]
2 Pt 0.000 0.500 0.000 [2 per cell]
3 Rh 0.250 0.250 0.500 [4 per cell]

---

Which one sits at the bottom of the stability order? #two does.

---

#one
Material: Cu2PtRh
Method: DFT, PBE
State: optimized geometry

## Properties
Its volume is 55 Å³/f.u.

Lattice parameters (Å, degrees): 2.7217 2.7217 25.6740 90.00 90.00 120.00
Space group R-3m (No. 166, hexagonal axes)
Asymmetric unit:
1 Cu 0.0000 0.0000 0.2491 [6 per cell]
2 Pt 0.0000 0.0000 0.0000 [3 per cell]
3 Rh 0.0000 0.0000 0.5000 [3 per cell]

---

#two
Material: Cu2PtRh
Method: DFT, PBE
State: optimized geometry

## Properties
Its volume is 60 Å³/f.u.

Lattice parameters (Å, degrees): 6.787 6.787 5.216 90.00 90.00 90.00
Space group I-42d (No. 122)
Asymmetric unit:
1 Cu 0.248 0.750 0.125 [8 per cell]
2 Pt 0.000 0.000 0.500 [4 per cell]
3 Rh 0.000 0.000 0.000 [4 per cell]

---

#three
Material: Cu2PtRh
Method: DFT, PBE
State: optimized geometry

## Properties
Its volume is 55 Å³/f.u.

Lattice parameters (Å, degrees): 8.754 2.698 4.698 90.00 100.03 90.00
Space group C2/m (No. 12)
Asymmetric unit:
1 Cu 0.249 0.000 0.245 [4 per cell]
2 Pt 0.000 0.000 0.500 [2 per cell]
3 Rh 0.000 0.500 0.000 [2 per cell]

---

Which one sits at the bottom of the stability order? #two does.